Computed, not measured: a relaxed LaTePt crystal at the PBE level of DFT.

Cell lengths 5.4822, 4.0646, 7.7352 Å; angles 90.00, 110.65, 90.00 degrees
Space group P2/m (No. 10)
Inequivalent atoms, fractional coordinates:
La: 0.1306 0.0000 0.2659 x2
Te: 0.3353 0.5000 0.6657 x2
Pt: 0.2469 0.5000 0.9988 x2

Output
Uncorrected energy: -35.47 eV/cell
Fermi-level density of states: 2.64 states/eV/cell
ΔE_f (raw): -1.21 eV/atom
Size of the total moment: 0.00 μB/f.u.

---

Computed, not measured: a relaxed LaTePt2 crystal at the PBE level of DFT.

Cell lengths 4.5590, 4.5590, 15.7438 Å; angles 90.00, 90.00, 120.00 degrees
Space group R3m (No. 160, hexagonal axes)
Inequivalent atoms, fractional coordinates:
La: 0.0000 0.0000 0.0000 x3
Te: 0.0000 0.0000 0.7967 x3
Pt: 0.0000 0.0000 0.2368 x3
Pt: 0.0000 0.0000 0.5012 x3

Output
Uncorrected energy: -69.58 eV/cell
Fermi-level density of states: 10.97 states/eV/cell
ΔE_f (raw): -0.76 eV/atom
Size of the total moment: 0.00 μB/f.u.

---

Computed, not measured: a relaxed LaTePt2 crystal at the PBE level of DFT.

Cell lengths 4.5377, 4.5377, 15.7324 Å; angles 90.00, 90.00, 120.00 degrees
Space group R-3m (No. 166, hexagonal axes)
Inequivalent atoms, fractional coordinates:
La: 0.0000 0.0000 0.0000 x3
Te: 0.0000 0.0000 0.5000 x3
Pt: 0.0000 0.0000 0.2231 x6

Output
Uncorrected energy: -70.01 eV/cell
Fermi-level density of states: 4.90 states/eV/cell
ΔE_f (raw): -0.80 eV/atom
Size of the total moment: 0.00 μB/f.u.